A plane-wave DFT calculation with PBE was carried out for a geometry-optimized SrTb2TlO6 structure.

POSCAR file:
```
SrTb2TlO6
1.0
5.9410 0.0000 0.0004
2.9705 5.1446 0.0000
2.9706 1.7149 5.2283
Sr Tb Tl O
1 2 1 6
Direct
0.7958 0.7959 0.6125 Sr
0.5234 0.5235 0.4296 Tb
0.0165 0.0165 0.9506 Tb
0.3085 0.3084 0.0746 Tl
0.6194 0.2280 0.2385 O
0.2281 0.9141 0.2384 O
0.9141 0.6194 0.2385 O
0.3710 0.7199 0.7442 O
0.7199 0.1649 0.7442 O
0.1649 0.3711 0.7441 O
```

Properties
Uncorrected formation energy in eV per atom: -2.382
Density of states at the Fermi level in states/eV per cell: 8.78